[1]
The following is a DFT calculation (GGA-PBE) of an optimized crystal structure of HAuSe.

Structure (POSCAR):
```
HAuSe
1.0
4.448 0.000 0.000
2.065 3.945 0.000
2.188 1.364 3.710
H Au Se
1 1 1
Direct
0.000 0.000 0.000
0.505 0.498 0.426
0.869 0.864 0.403
```

Values from the calculation:
The calculation puts the density at 7.06 g/cm³. As for the energy: -9.89 eV per cell. As for the space group: P1, No. 1. As for the crystal system: triclinic. As for the energy above the most stable polymorph in this dataset: 14.06 kJ/mol of atoms. The volume is 65.11 Å³/f.u.



[2]
The following is a DFT calculation (GGA-PBE) of an optimized crystal structure of Tm3CoC3.

Structure (POSCAR):
```
Tm3CoC3
1.0
4.192 -5.047 0.000
4.192 5.047 0.000
0.000 0.000 4.961
Tm Co C
6 2 6
Direct
0.108 0.892 0.750
0.162 0.406 0.750
0.406 0.162 0.250
0.594 0.838 0.750
0.838 0.594 0.250
0.892 0.108 0.250
0.303 0.697 0.250
0.697 0.303 0.750
0.122 0.878 0.250
0.166 0.426 0.250
0.426 0.166 0.750
0.574 0.834 0.250
0.834 0.574 0.750
0.878 0.122 0.750
```

Values from the calculation:
The calculation puts the density at 9.52 g/cm³. As for the energy: -100.03 eV per cell. As for the space group: Cmcm, No. 63. As for the crystal system: orthorhombic. The volume is 104.94 Å³/f.u. The formation energy comes out at -25.1 kJ per mole of atoms.